A plane-wave DFT calculation with PBE was carried out for crystalline SrLa2Au at its relaxed geometry.

Cell lengths 4.726, 4.726, 11.389 Å; angles 90.00, 90.00, 90.00 degrees
Space group I4/mmm (No. 139)
Symmetry-distinct sites (fractional):
Sr 0.000 0.000 0.000 (multiplicity 2)
La 0.000 0.500 0.250 (multiplicity 4)
Au 0.000 0.000 0.500 (multiplicity 2)

Properties
total magnetization: 0.00 μB/f.u.
E: -30.6 eV for the cell shown
Fermi-level density of states: 1.626 states/eV/atom


A plane-wave DFT calculation with PBE was carried out for crystalline Sr4LaAu at its relaxed geometry.

Cell lengths 10.269, 10.269, 10.269 Å; angles 90.00, 90.00, 90.00 degrees
Space group F-43m (No. 216)
Symmetry-distinct sites (fractional):
Sr 0.124 0.124 0.376 (multiplicity 16)
La 0.250 0.250 0.750 (multiplicity 4)
Au 0.000 0.000 0.000 (multiplicity 4)

Properties
total magnetization: 1.34 μB/f.u.
E: -49.0 eV for the cell shown
Fermi-level density of states: 1.699 states/eV/atom


A plane-wave DFT calculation with PBE was carried out for crystalline SrLaAu10 at its relaxed geometry.

Cell lengths 4.728, 5.643, 9.818 Å; angles 90.00, 90.00, 90.00 degrees
Space group Pmmm (No. 47)
Symmetry-distinct sites (fractional):
Sr 0.000 0.000 0.000 (multiplicity 1)
La 0.000 0.500 0.500 (multiplicity 1)
Au 0.000 0.000 0.337 (multiplicity 2)
Au 0.000 0.500 0.169 (multiplicity 2)
Au 0.500 0.000 0.500 (multiplicity 1)
Au 0.500 0.252 0.253 (multiplicity 4)
Au 0.500 0.500 0.000 (multiplicity 1)

Properties
total magnetization: 0.00 μB/f.u.
E: -44.7 eV for the cell shown
Fermi-level density of states: 0.449 states/eV/atom